1.
Computed, not measured: a geometry-optimized KZnCo2Te structure at the PBE-GGA level of DFT.

The value obtained for the raw formation energy is 0.7494 eV per atom. Its total energy is -3.1956 eV/atom. The value obtained for the density of states at the Fermi level is 6.1 states/eV/cell.

The space group is P4/mmm (No. 123) and the conventional cell measures 4.762, 4.762 and 5.437 Å, with angles of 90.00, 90.00 and 90.00 degrees. The inequivalent atoms are K at (0.000, 0.000, 0.000), Zn at (0.500, 0.500, 0.500), Co at (0.000, 0.500, 0.500) and Te at (0.500, 0.500, 0.000).

=====

2.
Computed, not measured: a geometry-optimized ZnPb2Se structure at the PBE-GGA level of DFT.

The value obtained for the raw formation energy is -0.0048 eV per atom. Its total energy is -3.0485 eV/atom. For the relative energy among the computed polymorphs, the calculation gives 57 kJ/mol of formula units. The value obtained for the density of states at the Fermi level is 2.3 states/eV/cell.

The space group is P2/m (No. 10) and the conventional cell measures 3.804, 3.813 and 7.175 Å, with angles of 90.00, 90.07 and 90.00 degrees. The inequivalent atoms are Zn at (0.000, 0.000, 0.000), Pb at (0.499, 0.500, 0.257) and Se at (0.000, 0.000, 0.500).

=====

no.,total magnetization (μB per cell)
1,3.694
2,0.000